Entry 1:
A plane-wave DFT calculation with PBE-GGA was carried out for TaZnCo3 after structural relaxation.

Computed properties:
Space-group type: P6_3/mmc (194)
V (Å³ per cell): 133.96
E above lowest polymorph (meV/atom): 0
ΔE_f (kcal/mol of atoms): 7.83
Total moment (μB/f.u.): 2.0

Cell lengths 5.757, 5.757, 4.667 Å; angles 90.00, 90.00, 120.00 degrees
Fractional positions:
Ta (0.333, 0.667, 0.250)
Ta (0.667, 0.333, 0.750)
Zn (0.000, 0.000, 0.000)
Zn (0.000, 0.000, 0.500)
Co (0.202, 0.404, 0.750)
Co (0.202, 0.798, 0.750)
Co (0.404, 0.202, 0.250)
Co (0.596, 0.798, 0.750)
Co (0.798, 0.202, 0.250)
Co (0.798, 0.596, 0.250)

=====

Entry 2:
A plane-wave DFT calculation with PBE-GGA was carried out for TaZn5Co6 after structural relaxation.

Computed properties:
Space-group type: P2/m (10)
V (Å³ per cell): 146.55
ΔE_f (kcal/mol of atoms): -1.88
Total moment (μB/f.u.): 0.0

Cell lengths 4.100, 5.823, 6.475 Å; angles 90.00, 108.56, 90.00 degrees
Fractional positions:
Ta (0.000, 0.000, 0.000)
Zn (0.000, 0.500, 0.000)
Zn (0.332, 0.000, 0.664)
Zn (0.333, 0.500, 0.667)
Zn (0.667, 0.500, 0.333)
Zn (0.668, 0.000, 0.336)
Co (0.167, 0.252, 0.334)
Co (0.167, 0.748, 0.334)
Co (0.500, 0.253, 0.000)
Co (0.500, 0.747, 0.000)
Co (0.833, 0.252, 0.666)
Co (0.833, 0.748, 0.666)

=====

Entry 3:
A plane-wave DFT calculation with PBE-GGA was carried out for TaZnCo after structural relaxation.

Computed properties:
Space-group type: Cmcm (63)
V (Å³ per cell): 84.52
E above lowest polymorph (meV/atom): 0
ΔE_f (kcal/mol of atoms): -3.97
Total moment (μB/f.u.): 0.0

Cell lengths 4.673, 4.673, 4.968 Å; angles 90.00, 90.00, 128.83 degrees
Fractional positions:
Ta (0.203, 0.797, 0.750)
Ta (0.797, 0.203, 0.250)
Zn (0.500, 0.500, 0.000)
Zn (0.500, 0.500, 0.500)
Co (0.113, 0.887, 0.250)
Co (0.887, 0.113, 0.750)

=====

Entry 4:
A plane-wave DFT calculation with PBE-GGA was carried out for TaZnCo after structural relaxation.

Computed properties:
Space-group type: P3m1 (156)
V (Å³ per cell): 42.03
E above lowest polymorph (meV/atom): 128
ΔE_f (kcal/mol of atoms): -1.02
Total moment (μB/f.u.): 0.0

Cell lengths 4.217, 4.217, 2.729 Å; angles 90.00, 90.00, 120.00 degrees
Fractional positions:
Ta (0.000, 0.000, 0.000)
Zn (0.667, 0.333, 0.496)
Co (0.333, 0.667, 0.541)

=====

Entry 5:
A plane-wave DFT calculation with PBE-GGA was carried out for TaZnCo after structural relaxation.

Computed properties:
Space-group type: P2_1/m (11)
V (Å³ per cell): 254.71
E above lowest polymorph (meV/atom): 48
ΔE_f (kcal/mol of atoms): -2.86
Total moment (μB/f.u.): 0.0

Cell lengths 6.872, 3.091, 11.991 Å; angles 90.00, 90.19, 90.00 degrees
Fractional positions:
Ta (0.060, 0.250, 0.387)
Ta (0.149, 0.250, 0.082)
Ta (0.434, 0.750, 0.717)
Ta (0.566, 0.250, 0.283)
Ta (0.851, 0.750, 0.918)
Ta (0.940, 0.750, 0.613)
Zn (0.102, 0.250, 0.781)
Zn (0.386, 0.750, 0.450)
Zn (0.496, 0.750, 0.087)
Zn (0.504, 0.250, 0.913)
Zn (0.614, 0.250, 0.550)
Zn (0.898, 0.750, 0.219)
Co (0.218, 0.750, 0.926)
Co (0.222, 0.250, 0.585)
Co (0.268, 0.750, 0.253)
Co (0.732, 0.250, 0.747)
Co (0.778, 0.750, 0.415)
Co (0.782, 0.250, 0.074)

=====

Entry 6:
A plane-wave DFT calculation with PBE-GGA was carried out for TaZnCo after structural relaxation.

Computed properties:
Space-group type: I4mm (107)
V (Å³ per cell): 42.51
E above lowest polymorph (meV/atom): 123
ΔE_f (kcal/mol of atoms): -1.14
Total moment (μB/f.u.): 0.0

Cell lengths 5.306, 5.306, 5.306 Å; angles 147.70, 147.70, 46.33 degrees
Fractional positions:
Ta (0.000, 0.000, 0.000)
Zn (0.303, 0.303, 0.000)
Co (0.653, 0.653, 0.000)

=====

Entry 7:
A plane-wave DFT calculation with PBE-GGA was carried out for TaZn4Co after structural relaxation.

Computed properties:
Space-group type: F-43m (216)
V (Å³ per cell): 85.09
ΔE_f (kcal/mol of atoms): 3.67
Total moment (μB/f.u.): 2.0

Cell lengths 4.937, 4.937, 4.937 Å; angles 60.00, 60.00, 60.00 degrees
Fractional positions:
Ta (0.000, 0.000, 0.000)
Zn (0.375, 0.375, 0.375)
Zn (0.375, 0.375, 0.876)
Zn (0.375, 0.876, 0.375)
Zn (0.876, 0.375, 0.375)
Co (0.750, 0.750, 0.750)

=====

Entry 8:
A plane-wave DFT calculation with PBE-GGA was carried out for TaZnCo2 after structural relaxation.

Computed properties:
Space-group type: P4mm (99)
V (Å³ per cell): 53.84
ΔE_f (kcal/mol of atoms): 0.76
Total moment (μB/f.u.): 2.7

Cell lengths 2.718, 2.718, 7.288 Å; angles 90.00, 90.00, 90.00 degrees
Fractional positions:
Ta (0.000, 0.000, 0.000)
Zn (0.500, 0.500, 0.298)
Co (0.000, 0.000, 0.535)
Co (0.500, 0.500, 0.734)

=====

Entry 9:
A plane-wave DFT calculation with PBE-GGA was carried out for Zr3Ta2Co7 after structural relaxation.

Computed properties:
Space-group type: Cmmm (65)
V (Å³ per cell): 190.60
ΔE_f (kcal/mol of atoms): 2.41
Total moment (μB/f.u.): 0.0

Cell lengths 14.449, 14.449, 3.464 Å; angles 90.00, 90.00, 164.72 degrees
Fractional positions:
Zr (0.000, 0.000, 0.000)
Zr (0.206, 0.794, 0.000)
Zr (0.794, 0.206, 0.000)
Ta (0.415, 0.585, 0.500)
Ta (0.585, 0.415, 0.500)
Co (0.137, 0.863, 0.500)
Co (0.288, 0.712, 0.500)
Co (0.358, 0.642, 0.000)
Co (0.500, 0.500, 0.500)
Co (0.642, 0.358, 0.000)
Co (0.712, 0.288, 0.500)
Co (0.863, 0.137, 0.500)

=====

Entry 10:
A plane-wave DFT calculation with PBE-GGA was carried out for ZrTa2Co after structural relaxation.

Computed properties:
Space-group type: F-43m (216)
V (Å³ per cell): 68.32
E above lowest polymorph (meV/atom): 120
ΔE_f (kcal/mol of atoms): 1.31
Total moment (μB/f.u.): 0.2

Cell lengths 4.589, 4.589, 4.589 Å; angles 60.00, 60.00, 60.00 degrees
Fractional positions:
Zr (0.000, 0.000, 0.000)
Ta (0.250, 0.250, 0.250)
Ta (0.500, 0.500, 0.500)
Co (0.750, 0.750, 0.750)

=====

Entry 11:
A plane-wave DFT calculation with PBE-GGA was carried out for ZrTaCo2 after structural relaxation.

Computed properties:
Space-group type: P4/mmm (123)
V (Å³ per cell): 61.28
ΔE_f (kcal/mol of atoms): -5.00
Total moment (μB/f.u.): 0.0

Cell lengths 3.027, 3.027, 6.689 Å; angles 90.00, 90.00, 90.00 degrees
Fractional positions:
Zr (0.000, 0.000, 0.000)
Ta (0.000, 0.000, 0.500)
Co (0.500, 0.500, 0.289)
Co (0.500, 0.500, 0.711)

=====

Entry 12:
A plane-wave DFT calculation with PBE-GGA was carried out for ZrTa2Co after structural relaxation.

Computed properties:
Space-group type: P2/m (10)
V (Å³ per cell): 69.69
E above lowest polymorph (meV/atom): 191
ΔE_f (kcal/mol of atoms): 2.94
Total moment (μB/f.u.): 0.4

Cell lengths 2.973, 4.612, 5.184 Å; angles 90.00, 101.36, 90.00 degrees
Fractional positions:
Zr (0.000, 0.000, 0.000)
Ta (0.283, 0.500, 0.741)
Ta (0.717, 0.500, 0.259)
Co (0.500, 0.000, 0.500)

=====

> Which value of total moment does entry 3 give?

0.0 μB/f.u.